This record from Alexandria via LeMat-Bulk describes an optimized crystal structure of BaIrSeBr2. The functional is GGA-PBEsol.

```
5
Lattice="6.091 0.000 0.000 0.000 6.091 0.000 0.000 0.000 6.243" Properties=species:S:1:pos:R:3 pbc="T T T"
Ir 3.046 3.046 3.122
Se 0.000 0.000 3.122
Ba 0.000 0.000 0.000
Br 0.000 3.046 0.000
Br 3.046 0.000 0.000
```

Values from the calculation:
- Total DFT energy (no corrections): -3.04 eV/atom
- ρ: 4.1 g/cm3
- Calculated volume: 46.3 A^3/atom
- Energy above the most stable polymorph in this dataset: 1.651 eV per atom